No. 1
ZnCd2Au: relaxed, PBE.

The volume comes out at 21.95 Å³ per atom. The energy of formation from the pure elements is -11 meV/atom. The value obtained for the electronic total energy is -1.6065 eV/atom. Its total magnetization is 0.000 μB/cell.

It has space group R3m (No. 160, hexagonal axes), with a = 4.6335 Å, b = 4.6335 Å, c = 14.1648 Å, α = 90.00°, β = 90.00° and γ = 120.00°. The distinct sites, in fractional coordinates, are Zn at (0.0000, 0.0000, 0.0000), Cd at (0.0000, 0.0000, 0.5833), Cd at (0.0000, 0.0000, 0.7850) and Au at (0.0000, 0.0000, 0.1869).

***

No. 2
ZnCd4Au2: relaxed, PBE.

The volume comes out at 23.11 Å³ per atom. The energy of formation from the pure elements is -91 meV/atom. The value obtained for the electronic total energy is -1.7322 eV/atom. Its total magnetization is 0.000 μB/cell.

It has space group R-3m (No. 166, hexagonal axes), with a = 4.5042 Å, b = 4.5042 Å, c = 27.6206 Å, α = 90.00°, β = 90.00° and γ = 120.00°. The distinct sites, in fractional coordinates, are Zn at (0.0000, 0.0000, 0.0000), Cd at (0.0000, 0.0000, 0.1982), Cd at (0.0000, 0.0000, 0.3810) and Au at (0.0000, 0.0000, 0.0934).

***

No. 3
ZnCd2Au: relaxed, PBE.

The volume comes out at 19.25 Å³ per atom. The energy of formation from the pure elements is -52 meV/atom. The value obtained for the electronic total energy is -1.6470 eV/atom. Its total magnetization is 0.000 μB/cell.

It has space group Cmmm (No. 65), with a = 5.880 Å, b = 8.004 Å, c = 3.273 Å, α = 90.00°, β = 90.00° and γ = 90.00°. The distinct sites, in fractional coordinates, are Zn at (0.000, 0.000, 0.000), Cd at (0.250, 0.250, 0.500) and Au at (0.000, 0.500, 0.000).

***

No. 4
Zn6CdAu5: relaxed, PBE.

The volume comes out at 16.59 Å³ per atom. The energy of formation from the pure elements is -165 meV/atom. The value obtained for the electronic total energy is -2.2442 eV/atom. Its total magnetization is 0.000 μB/cell.

It has space group P2/m (No. 10), with a = 4.548 Å, b = 6.300 Å, c = 7.242 Å, α = 90.00°, β = 106.35° and γ = 90.00°. The distinct sites, in fractional coordinates, are Zn at (0.000, 0.225, 0.000), Zn at (0.327, 0.255, 0.649), Cd at (0.500, 0.500, 0.000), Au at (0.147, 0.500, 0.303), Au at (0.168, 0.000, 0.338) and Au at (0.500, 0.000, 0.000).